BeZn2Te, single point on PBEsol structure, DFT SCAN; space-group type = Fm-3m, No. 225; relative energy among the computed polymorphs = 362 meV per atom
1.0
4.6541 0.0000 0.0000
2.3270 4.0306 0.0000
2.3270 1.3435 3.8000
Be Zn Te
1 2 1
direct
0.0000 0.0000 0.0000 Be
0.2500 0.2500 0.2500 Zn
0.7500 0.7500 0.7500 Zn
0.5000 0.5000 0.5000 Te